--- one ---
DFT (PBE-GGA) results for a relaxed SmHgPd6 crystal.

The calculation puts the volume at 319.1 Å³ per cell.

It has space group C2/m (No. 12), with a = 8.605 Å, b = 5.355 Å, c = 7.207 Å, α = 90.00°, β = 106.07° and γ = 90.00°. The asymmetric unit holds Sm at (0.000, 0.000, 0.000), Hg at (0.000, 0.500, 0.500), Pd at (0.144, 0.000, 0.445) and Pd at (0.207, 0.244, 0.801).

--- two ---
DFT (PBE-GGA) results for a relaxed SmHgPd6 crystal.

The calculation puts the volume at 139.4 Å³ per cell.

It has space group P4/mmm (No. 123), with a = 5.777 Å, b = 5.777 Å, c = 4.176 Å, α = 90.00°, β = 90.00° and γ = 90.00°. The asymmetric unit holds Sm at (0.000, 0.000, 0.000), Hg at (0.500, 0.500, 0.000), Pd at (0.000, 0.500, 0.000) and Pd at (0.255, 0.255, 0.500).

It is two that is the most stable of them.

--- one ---
DFT (PBE-GGA) results for a relaxed Sm2Hg2Pd3 crystal.

The calculation puts the volume at 304.6 Å³ per cell.

It has space group C2/m (No. 12), with a = 10.077 Å, b = 4.283 Å, c = 7.359 Å, α = 90.00°, β = 106.43° and γ = 90.00°. The asymmetric unit holds Sm at (0.126, 0.000, 0.294), Hg at (0.124, 0.500, 0.929), Pd at (0.000, 0.500, 0.500) and Pd at (0.168, 0.000, 0.700).

--- two ---
DFT (PBE-GGA) results for a relaxed Sm2Hg2Pd3 crystal.

The calculation puts the volume at 312.3 Å³ per cell.

It has space group C2/m (No. 12), with a = 8.619 Å, b = 4.973 Å, c = 7.836 Å, α = 90.00°, β = 111.61° and γ = 90.00°. The asymmetric unit holds Sm at (0.108, 0.000, 0.326), Hg at (0.130, 0.500, 0.889), Pd at (0.000, 0.500, 0.500) and Pd at (0.243, 0.000, 0.728).

It is one that is the most stable of them.

--- one ---
DFT (PBE-GGA) results for a relaxed Sm12HgPd6 crystal.

The calculation puts the volume at 1047.2 Å³ per cell.

It has space group Im-3 (No. 204), with a = 10.155 Å, b = 10.155 Å, c = 10.155 Å, α = 90.00°, β = 90.00° and γ = 90.00°. The asymmetric unit holds Sm at (0.000, 0.297, 0.183), Hg at (0.000, 0.000, 0.000) and Pd at (0.000, 0.135, 0.500).

--- two ---
DFT (PBE-GGA) results for a relaxed Sm12HgPd6 crystal.

The calculation puts the volume at 1748.8 Å³ per cell.

It has space group R-3 (No. 148, hexagonal axes), with a = 13.5949 Å, b = 13.5949 Å, c = 10.9262 Å, α = 90.00°, β = 90.00° and γ = 120.00°. The asymmetric unit holds Sm at (0.0314, 0.2099, 0.3782), Sm at (0.0371, 0.2198, 0.8895), Hg at (0.0000, 0.0000, 0.0000) and Pd at (0.0419, 0.2576, 0.6389).

It is one that is the most stable of them.

--- one ---
DFT (PBE-GGA) results for a relaxed SmHgPd crystal.

The calculation puts the volume at 69.6 Å³ per cell.

It has space group P-6m2 (No. 187), with a = 4.7534 Å, b = 4.7534 Å, c = 3.5584 Å, α = 90.00°, β = 90.00° and γ = 120.00°. The asymmetric unit holds Sm at (0.0000, 0.0000, 0.0000), Hg at (0.6667, 0.3333, 0.5000) and Pd at (0.3333, 0.6667, 0.5000).

--- two ---
DFT (PBE-GGA) results for a relaxed SmHgPd crystal.

The calculation puts the volume at 135.1 Å³ per cell.

It has space group I4mm (No. 107), with a = 3.789 Å, b = 3.789 Å, c = 9.411 Å, α = 90.00°, β = 90.00° and γ = 90.00°. The asymmetric unit holds Sm at (0.000, 0.000, 0.000), Hg at (0.000, 0.000, 0.677) and Pd at (0.000, 0.000, 0.343).

It is two that is the most stable of them.

--- one ---
DFT (PBE-GGA) results for a relaxed SmHgPd crystal.

The calculation puts the volume at 411.8 Å³ per cell.

It has space group Pmma (No. 51), with a = 13.544 Å, b = 3.858 Å, c = 7.879 Å, α = 90.00°, β = 90.00° and γ = 90.00°. The asymmetric unit holds Sm at (0.050, 0.000, 0.239), Sm at (0.250, 0.000, 0.830), Hg at (0.110, 0.500, 0.571), Hg at (0.250, 0.500, 0.181), Pd at (0.094, 0.500, 0.937) and Pd at (0.250, 0.000, 0.446).

--- two ---
DFT (PBE-GGA) results for a relaxed SmHgPd crystal.

The calculation puts the volume at 204.8 Å³ per cell.

It has space group P-62m (No. 189), with a = 7.7573 Å, b = 7.7573 Å, c = 3.9297 Å, α = 90.00°, β = 90.00° and γ = 120.00°. The asymmetric unit holds Sm at (0.0000, 0.6005, 0.0000), Hg at (0.0000, 0.2647, 0.5000), Pd at (0.0000, 0.0000, 0.0000) and Pd at (0.3333, 0.6667, 0.5000).

It is two that is the most stable of them.

--- one ---
DFT (PBE-GGA) results for a relaxed SmHgPd crystal.

The calculation puts the volume at 306.9 Å³ per cell.

It has space group F-43m (No. 216), with a = 6.745 Å, b = 6.745 Å, c = 6.745 Å, α = 90.00°, β = 90.00° and γ = 90.00°. The asymmetric unit holds Sm at (0.000, 0.000, 0.000), Hg at (0.000, 0.000, 0.500) and Pd at (0.250, 0.250, 0.750).

--- two ---
DFT (PBE-GGA) results for a relaxed SmHgPd crystal.

The calculation puts the volume at 277.8 Å³ per cell.

It has space group C2/m (No. 12), with a = 10.389 Å, b = 4.063 Å, c = 7.689 Å, α = 90.00°, β = 121.15° and γ = 90.00°. The asymmetric unit holds Sm at (0.056, 0.000, 0.311), Hg at (0.168, 0.500, 0.074) and Pd at (0.145, 0.500, 0.656).

It is two that is the most stable of them.